Here is an optimized crystal structure of Pr2NpAgO8 from Alexandria. Energies are from PBE-GGA.

Lattice parameters (Å, degrees): 4.304 5.432 7.744 81.26 86.62 81.83
Atoms (fractional coordinates):
Pr (0.029, 0.049, 0.237)
Pr (0.971, 0.951, 0.763)
Np (0.500, 0.500, 0.500)
Ag (0.500, 0.500, 0.000)
O (0.090, 0.717, 0.511)
O (0.135, 0.762, 0.038)
O (0.416, 0.225, 0.675)
O (0.462, 0.309, 0.252)
O (0.538, 0.691, 0.748)
O (0.584, 0.775, 0.325)
O (0.865, 0.238, 0.962)
O (0.910, 0.283, 0.489)

Summary:
Formation energy from raw total energies in eV/atom: -2.346
Space-group type: No. 2